[1]
First-principles (PBE) data for crystalline ZnGa2N at its relaxed geometry, as listed in the Alexandria database.

Results
- E_form (uncorrected) (kJ per mole of atoms) = 84.1
- energy above the lowest structure with this stoichiometry (meV per atom) = 742

abc: 4.397 4.397 4.397
angles: 60.00 60.00 60.00
Element x y z (fractional)
Zn  0.500  0.500  0.500
Ga  0.250  0.250  0.250
Ga  0.750  0.750  0.750
N  0.000  0.000  0.000

[2]
First-principles (PBE) data for crystalline ZnGa2N2 at its relaxed geometry, as listed in the Alexandria database.

Results
- E_form (uncorrected) (kJ per mole of atoms) = 40.2
- energy above the lowest structure with this stoichiometry (meV per atom) = 27

abc: 3.789 3.789 7.129
angles: 74.59 74.59 90.00
Element x y z (fractional)
Zn  0.000  0.000  0.000
Ga  0.750  0.250  0.500
Ga  0.250  0.750  0.500
N  0.297  0.297  0.406
N  0.703  0.703  0.594

[3]
First-principles (PBE) data for crystalline ZnGa3N at its relaxed geometry, as listed in the Alexandria database.

Results
- E_form (uncorrected) (kJ per mole of atoms) = 115.8
- energy above the lowest structure with this stoichiometry (meV per atom) = 753

abc: 4.778 4.778 4.778
angles: 90.00 90.00 90.00
Last column: magnetic moment on the atom in μB.
Element x y z (fractional)
Zn  0.000  0.000  0.000  0.01
Ga  0.000  0.500  0.000  -0.05
Ga  0.000  0.000  0.500  -0.03
Ga  0.500  0.000  0.000  -0.07
N  0.500  0.500  0.500  1.10

[4]
First-principles (PBE) data for crystalline Zn3GaN at its relaxed geometry, as listed in the Alexandria database.

Results
- E_form (uncorrected) (kJ per mole of atoms) = 36.0
- energy above the lowest structure with this stoichiometry (meV per atom) = 0

abc: 4.209 4.209 4.209
angles: 90.00 90.00 90.00
Element x y z (fractional)
Zn  0.000  0.500  0.000
Zn  0.000  0.000  0.500
Zn  0.500  0.000  0.000
Ga  0.500  0.500  0.500
N  0.000  0.000  0.000

[5]
First-principles (PBE) data for crystalline Zn2GaN at its relaxed geometry, as listed in the Alexandria database.

Results
- E_form (uncorrected) (kJ per mole of atoms) = 28.7
- energy above the lowest structure with this stoichiometry (meV per atom) = 70

abc: 3.136 3.136 7.489
angles: 77.91 77.91 60.00
Element x y z (fractional)
Zn  0.117  0.117  0.648
Zn  0.883  0.883  0.352
Ga  0.000  0.000  0.000
N  0.500  0.500  0.500

[6]
First-principles (PBE) data for crystalline Zn2GaN at its relaxed geometry, as listed in the Alexandria database.

Results
- E_form (uncorrected) (kJ per mole of atoms) = 85.9
- energy above the lowest structure with this stoichiometry (meV per atom) = 662

abc: 4.313 4.313 4.313
angles: 60.00 60.00 60.00
Element x y z (fractional)
Zn  0.250  0.250  0.250
Zn  0.750  0.750  0.750
Ga  0.500  0.500  0.500
N  0.000  0.000  0.000

[7]
First-principles (PBE) data for crystalline Zn3GaN at its relaxed geometry, as listed in the Alexandria database.

Results
- E_form (uncorrected) (kJ per mole of atoms) = 117.5
- energy above the lowest structure with this stoichiometry (meV per atom) = 845

abc: 4.776 4.776 4.776
angles: 90.00 90.00 90.00
Last column: magnetic moment on the atom in μB.
Element x y z (fractional)
Zn  0.000  0.500  0.000  0.00
Zn  0.000  0.000  0.500  -0.03
Zn  0.500  0.000  0.000  0.00
Ga  0.000  0.000  0.000  0.05
N  0.500  0.500  0.500  1.44

[8]
First-principles (PBE) data for crystalline Zn2GaN at its relaxed geometry, as listed in the Alexandria database.

Results
- E_form (uncorrected) (kJ per mole of atoms) = 22.0
- energy above the lowest structure with this stoichiometry (meV per atom) = 0

abc: 5.700 5.700 5.773
angles: 60.41 60.41 90.00
Element x y z (fractional)
Zn  0.518  0.125  0.250
Zn  0.232  0.625  0.250
Zn  0.375  0.482  0.750
Zn  0.875  0.768  0.750
Ga  0.000  0.000  0.000
Ga  0.750  0.250  0.500
N  0.500  0.500  0.000
N  0.250  0.750  0.500